Entry from the Alexandria database: AlSbF after structural relaxation (PBE-GGA).

The calculation puts the relative energy among the computed polymorphs at 0.13 eV/f.u. The value obtained for the total energy is -4.6135 eV/atom. Its formation energy (no corrections) is -1368 meV/atom.

The space group is Cm (No. 8) and the conventional cell measures 7.7833, 4.5510 and 7.5875 Å, with angles of 90.00, 90.27 and 90.00 degrees. The asymmetric unit holds Al at (0.0000, 0.0000, 0.0000), Al at (0.2086, 0.0000, 0.5954), Sb at (0.1687, 0.5000, 0.0965), Sb at (0.3180, 0.5000, 0.4378), F at (0.0375, 0.0000, 0.7652) and F at (0.3579, 0.0000, 0.7668).

Entry from the Alexandria database: AlSbF3 after structural relaxation (PBE-GGA).

The calculation puts the relative energy among the computed polymorphs at 1.68 eV/f.u. The value obtained for the density of states at the Fermi level is 0.61 states/eV/atom. The value obtained for the total energy is -4.0103 eV/atom. Its formation energy (no corrections) is -1314 meV/atom.

The space group is Pm-3m (No. 221) and the conventional cell measures 4.6228, 4.6228 and 4.6228 Å, with angles of 90.00, 90.00 and 90.00 degrees. The asymmetric unit holds Al at (0.0000, 0.0000, 0.0000), Sb at (0.5000, 0.5000, 0.5000) and F at (0.0000, 0.5000, 0.5000).

Entry from the Alexandria database: AlSb3F after structural relaxation (PBE-GGA).

The calculation puts the relative energy among the computed polymorphs at 1.07 eV/f.u. The value obtained for the density of states at the Fermi level is 0.93 states/eV/atom. The value obtained for the total energy is -3.3515 eV/atom. Its formation energy (no corrections) is 245 meV/atom.

The space group is Pm-3m (No. 221) and the conventional cell measures 5.2161, 5.2161 and 5.2161 Å, with angles of 90.00, 90.00 and 90.00 degrees. The asymmetric unit holds Al at (0.0000, 0.0000, 0.0000), Sb at (0.0000, 0.0000, 0.5000) and F at (0.5000, 0.5000, 0.5000).

Entry from the Alexandria database: Al3SbF after structural relaxation (PBE-GGA).

The calculation puts the relative energy among the computed polymorphs at 3.91 eV/f.u. The value obtained for the density of states at the Fermi level is 0.86 states/eV/atom. The value obtained for the total energy is -2.8904 eV/atom. Its formation energy (no corrections) is 554 meV/atom.

The space group is Pm-3m (No. 221) and the conventional cell measures 5.4983, 5.4983 and 5.4983 Å, with angles of 90.00, 90.00 and 90.00 degrees. The asymmetric unit holds Al at (0.0000, 0.0000, 0.5000), Sb at (0.0000, 0.0000, 0.0000) and F at (0.5000, 0.5000, 0.5000).